A plane-wave DFT calculation with PBE-GGA was carried out for crystalline CeNiRh at its relaxed geometry.

Results
raw total energy	-6.951	eV per atom
crystal system	orthorhombic
D(E_F)	8.6	states/eV/cell
space group	Imma, No. 74

Cell: 5.006 5.230 5.230 Å, 62.81 61.41 61.41°
Each line ends with the local moment (μB).
Sites, in units of the cell vectors:
Ce1 0.876 0.374 0.374  0.24
Ce2 0.124 0.626 0.626  0.24
Ni1 0.000 0.000 0.000  -0.04
Ni2 0.500 0.000 0.000  -0.04
Rh1 0.500 0.500 0.000  -0.03
Rh2 0.500 0.000 0.500  -0.03

A plane-wave DFT calculation with PBE-GGA was carried out for crystalline Ce6Ni2Rh at its relaxed geometry.

Results
raw total energy	-6.294	eV per atom
crystal system	orthorhombic
D(E_F)	42.8	states/eV/cell
space group	Immm, No. 71

Cell: 8.246 8.246 8.246 Å, 96.55 108.61 124.52°
Each line ends with the local moment (μB).
Sites, in units of the cell vectors:
Ce1 0.530 0.723 0.807  0.14
Ce2 0.470 0.277 0.193  0.14
Ce3 0.084 0.277 0.807  0.14
Ce4 0.916 0.723 0.193  0.14
Ce5 0.807 0.755 0.562  0.22
Ce6 0.193 0.245 0.438  0.22
Ce7 0.193 0.755 0.948  0.22
Ce8 0.807 0.245 0.052  0.22
Ce9 0.741 0.426 0.685  0.10
Ce10 0.259 0.574 0.315  0.10
Ce11 0.259 0.944 0.685  0.10
Ce12 0.741 0.056 0.315  0.10
Ni1 0.500 0.381 0.881  -0.01
Ni2 0.500 0.619 0.119  -0.01
Ni3 0.630 0.000 0.630  -0.01
Ni4 0.370 0.000 0.370  -0.01
Rh1 0.000 0.500 0.500  -0.01
Rh2 0.000 0.000 0.000  -0.01

Taking the records one at a time from the top gives energy relative to the elements values of -172.4; -205.7 kJ/mol of formula units.